VASP calculation (GGA-PBE) on a relaxed structure of Pm2Ho5Sb5.

Summary:
- crystal system = monoclinic
- energy relative to the elements, uncorrected (meV per atom) = -832
- spin magnetization (μB/f.u.) = 0.00
- total energy (eV/atom) = -5.249

Unit cell a=7.341 b=7.341 c=12.738 alpha=105.06 beta=105.06 gamma=34.32
Fractional coordinates of all 12 atoms:
Pm 0.034 0.034 0.277
Pm 0.966 0.966 0.723
Ho 0.276 0.276 0.157
Ho 0.343 0.343 0.458
Ho 0.500 0.500 0.000
Ho 0.657 0.657 0.542
Ho 0.724 0.724 0.843
Sb 0.000 0.000 0.500
Sb 0.125 0.125 0.941
Sb 0.298 0.298 0.696
Sb 0.702 0.702 0.304
Sb 0.875 0.875 0.059